Entry 1:
NaHo2MoO6: optimized geometry, PBE with a Hubbard U.

Lattice parameters (Å, degrees): 5.608 5.655 5.960 61.79 62.84 60.40
Last column: magnetic moment on the atom in μB.
Sites, in units of the cell vectors:
O (0.393, 0.696, 0.763)  0.01
O (0.227, 0.956, 0.236)  0.03
Mo (0.321, 0.323, 0.038)  0.94
Na (0.805, 0.800, 0.603)  0.00
Ho (0.024, 0.010, 0.945)  0.00
O (0.149, 0.390, 0.775)  -0.02
O (0.568, 0.237, 0.228)  -0.03
O (0.955, 0.578, 0.233)  0.03
Ho (0.528, 0.529, 0.426)  0.02
O (0.692, 0.144, 0.770)  0.02

Output
M_tot, μB per cell: 1.00
ρ, g/cm3: 6.530
Crystal system: triclinic
E, eV per atom: -7.380
Space group: P1, No. 1

---

Entry 2:
Na2HoMoPO8: optimized geometry, PBE with a Hubbard U.

Lattice parameters (Å, degrees): 6.932 11.483 11.483 64.04 72.43 72.43
Sites, in units of the cell vectors:
O (0.328, 0.439, 0.425)
O (0.331, 0.605, 0.153)
Ho (0.250, 0.678, 0.322)
O (0.082, 0.344, 0.641)
O (0.068, 0.859, 0.156)
Na (0.149, 0.899, 0.793)
O (0.271, 0.640, 0.898)
O (0.418, 0.359, 0.656)
O (0.582, 0.641, 0.344)
Na (0.851, 0.101, 0.207)
O (0.169, 0.847, 0.395)
Ho (0.750, 0.822, 0.178)
O (0.191, 0.398, 0.140)
P (0.750, 0.069, 0.931)
Mo (0.823, 0.427, 0.927)
O (0.432, 0.844, 0.141)
Na (0.351, 0.207, 0.101)
O (0.669, 0.395, 0.847)
O (0.090, 0.347, 0.895)
O (0.692, 0.061, 0.075)
O (0.809, 0.602, 0.860)
O (0.691, 0.140, 0.398)
Mo (0.177, 0.573, 0.073)
O (0.192, 0.075, 0.061)
Ho (0.250, 0.178, 0.822)
P (0.250, 0.431, 0.569)
O (0.808, 0.925, 0.939)
O (0.568, 0.156, 0.859)
O (0.918, 0.656, 0.359)
O (0.229, 0.102, 0.360)
P (0.750, 0.569, 0.431)
Na (0.660, 0.399, 0.293)
O (0.729, 0.360, 0.102)
O (0.172, 0.575, 0.561)
O (0.831, 0.153, 0.605)
O (0.308, 0.939, 0.925)
O (0.309, 0.860, 0.602)
Na (0.649, 0.793, 0.899)
P (0.250, 0.931, 0.069)
Mo (0.323, 0.927, 0.427)
O (0.672, 0.561, 0.575)
Ho (0.750, 0.322, 0.678)
O (0.590, 0.895, 0.347)
O (0.771, 0.898, 0.640)
Mo (0.677, 0.073, 0.573)
Na (0.160, 0.293, 0.399)
O (0.828, 0.425, 0.439)
O (0.910, 0.653, 0.105)
Na (0.840, 0.707, 0.601)
O (0.932, 0.141, 0.844)
Na (0.340, 0.601, 0.707)
O (0.410, 0.105, 0.653)

Output
M_tot, μB per cell: 0.00
ρ, g/cm3: 4.029
Crystal system: orthorhombic
E, eV per atom: -6.958
Space group: Ibca, No. 73